Computed, not measured: Ge4Ir after structural relaxation at the PBE level of DFT.

**E above lowest polymorph**: 572 meV/atom
**M_tot**: 0.00 μB/f.u.
**E**: -25.35 eV for the cell shown

The structure in CIF format:
```
data_Ge4Ir
_space_group_name_H-M_alt 'P m -3 m'
_space_group_IT_number 221
_space_group_name_Hall '-P 4 2 3'
_cell_length_a 4.824
_cell_length_b 4.824
_cell_length_c 4.824
_cell_angle_alpha 90.00
_cell_angle_beta 90.00
_cell_angle_gamma 90.00
loop_
_atom_site_label
_atom_site_fract_x
_atom_site_fract_y
_atom_site_fract_z
_atom_site_occupancy
Ge1 0.000 0.000 0.000 1
Ge2 0.000 0.500 0.500 1
Ir1 0.500 0.500 0.500 1
```